No. 1
Compound: MgAl4
Source: Alexandria via LeMat-Bulk
Functional: PBE
Structure: optimized geometry

Crystal system: tetragonal
E_form: -0.004 eV per atom

a b c (Å): 5.054 5.054 5.054
angles (deg): 99.58 99.58 131.84
Positions (direct):
Mg  0.000  0.000  0.000
Al  0.196  0.404  0.600
Al  0.404  0.804  0.208
Al  0.596  0.196  0.792
Al  0.804  0.596  0.400

---

No. 2
Compound: BeSeBr2N
Source: Alexandria via LeMat-Bulk
Functional: PBE
Structure: optimized geometry

Crystal system: tetragonal
E_form (uncorrected): 5.23 eV per formula unit

a b c (Å): 4.918 4.918 4.571
angles (deg): 90.00 90.00 90.00
Positions (direct):
Be  0.000  0.000  0.000
Se  0.000  0.000  0.500
Br  0.000  0.500  0.000
Br  0.500  0.000  0.000
N  0.500  0.500  0.500

---

No. 3
Compound: Sr2CaAu4
Source: Alexandria via LeMat-Bulk
Functional: PBE
Structure: optimized geometry

Crystal system: tetragonal
E_form: -0.636 eV per atom

a b c (Å): 7.714 7.714 7.714
angles (deg): 138.58 138.58 60.02
Positions (direct):
Sr  0.223  0.223  0.000
Sr  0.777  0.777  0.000
Ca  0.500  0.500  0.000
Au  0.109  0.609  0.500
Au  0.391  0.891  0.500
Au  0.609  0.109  0.500
Au  0.891  0.391  0.500

---

No. 4
Compound: ThBe4Cu8
Source: Alexandria via LeMat-Bulk
Functional: PBE
Structure: optimized geometry

Crystal system: tetragonal
E_form: -0.101 eV per atom

a b c (Å): 6.341 6.341 6.341
angles (deg): 97.57 97.57 137.45
Positions (direct):
Th  0.000  0.000  0.000
Be  0.000  0.000  0.500
Be  0.000  0.500  0.000
Be  0.500  0.000  0.000
Be  0.500  0.500  0.500
Cu  0.000  0.352  0.352
Cu  0.000  0.648  0.648
Cu  0.272  0.500  0.772
Cu  0.352  0.000  0.352
Cu  0.500  0.272  0.772
Cu  0.500  0.728  0.228
Cu  0.648  0.000  0.648
Cu  0.728  0.500  0.228